[1]
Entry from Alexandria via LeMat-Bulk: crystalline Li3LaP at its relaxed geometry (GGA-PBE).

It has space group Pm-3m (No. 221), with a = 5.281 Å, b = 5.281 Å, c = 5.281 Å, α = 90.00°, β = 90.00° and γ = 90.00°. Symmetry generates all atoms from Li at (0.000, 0.000, 0.500), La at (0.000, 0.000, 0.000) and P at (0.500, 0.500, 0.500).

For the excess energy over the best structure of this formula in the dataset, the calculation gives 1515 meV/atom. The value obtained for the density of states at the Fermi level is 0.3461 states/eV/atom. The calculated volume comes out at 147 Å³/f.u. The energy of formation comes out at 1.3051 eV per atom. The calculation puts the magnetic moment at 2.96 μB/f.u. The total energy is -1.911 eV per atom.

***

[2]
Entry from Alexandria via LeMat-Bulk: crystalline Ce2HoIr at its relaxed geometry (GGA-PBE).

It has space group Cmcm (No. 63), with a = 3.761 Å, b = 11.181 Å, c = 9.889 Å, α = 90.00°, β = 90.00° and γ = 90.00°. Symmetry generates all atoms from Ce at (0.000, 0.138, 0.057), Ho at (0.000, 0.419, 0.250) and Ir at (0.000, 0.292, 0.750).

For the excess energy over the best structure of this formula in the dataset, the calculation gives 0 meV/atom. The value obtained for the density of states at the Fermi level is 2.3013 states/eV/atom. The calculated volume comes out at 104 Å³/f.u. The energy of formation comes out at -0.4385 eV per atom. The calculation puts the magnetic moment at 1.00 μB/f.u. The total energy is -6.765 eV per atom.

***

[3]
Entry from Alexandria via LeMat-Bulk: crystalline AlNi2Au at its relaxed geometry (GGA-PBE).

It has space group I-42d (No. 122), with a = 3.666 Å, b = 3.666 Å, c = 17.552 Å, α = 90.00°, β = 90.00° and γ = 90.00°. Symmetry generates all atoms from Al at (0.000, 0.000, 0.000), Ni at (0.229, 0.250, 0.125) and Au at (0.000, 0.000, 0.500).

The value obtained for the density of states at the Fermi level is 0.8853 states/eV/atom. The calculated volume comes out at 59 Å³/f.u. The energy of formation comes out at 0.0458 eV per atom. The calculation puts the magnetic moment at 0.00 μB/f.u. The total energy is -4.600 eV per atom.

***

Question: Number 3 is which compound?
Answer: AlNi2Au

***

Question: Number 2 is which compound?
Answer: Ce2HoIr